# RbErCr2O8

A relaxed RbErCr2O8 crystal (PBE with a Hubbard U, Alexandria via LeMat-Bulk).

```
RbErCr2O8
1.0
5.770 0.000 0.000
-2.885 4.997 0.000
0.000 0.000 8.008
Rb Er Cr O
1 1 2 8
Direct
0.000 0.000 0.000 Rb
0.000 0.000 0.500 Er
0.667 0.333 0.259 Cr
0.333 0.667 0.741 Cr
0.333 0.667 0.943 O
0.349 0.179 0.328 O
0.821 0.170 0.328 O
0.667 0.333 0.057 O
0.179 0.830 0.672 O
0.651 0.821 0.672 O
0.170 0.349 0.672 O
0.830 0.651 0.328 O
```

Summary:
ρ	3.49	g/cm³
space-group type	P-3 (147)
E	-6.929	eV/atom